1.
Below is a geometry-optimized CaSmAs2O8 structure, with properties calculated at the PBE level.

Structure (POSCAR):
```
CaSmAs2O8
1.0
5.1335 0.0000 0.0000
0.0000 5.1335 0.0000
-2.5668 -2.5668 5.8254
O As Ca Sm
8 2 1 1
Direct
0.7169 0.8286 0.1589
0.4420 0.3303 0.1589
0.0312 0.4229 0.3451
0.3139 0.9222 0.3451
0.0778 0.9688 0.6549
0.1714 0.5580 0.8411
0.6697 0.2831 0.8411
0.5771 0.6861 0.6549
0.2500 0.7500 0.5000
0.5000 0.5000 0.0000
0.0000 0.0000 0.0000
0.7500 0.2500 0.5000
```

Output
Spin magnetization ... 0.091 μB per atom
Crystal system ... tetragonal
E_form (uncorrected) ... -2.029 eV/atom

---

2.
Below is a geometry-optimized CaSnAsO6 structure, with properties calculated at the PBE level.

Structure (POSCAR):
```
CaSnAsO6
1.0
5.2394 0.0000 0.0000
-2.6197 4.5374 0.0000
0.0000 0.0000 9.9657
As O Ca Sn
2 12 2 2
Direct
0.6667 0.3333 0.7500
0.3333 0.6667 0.2500
0.6178 0.9671 0.3566
0.0329 0.6506 0.3566
0.9671 0.6178 0.8566
0.6506 0.6178 0.6434
0.3494 0.3822 0.3566
0.3822 0.3494 0.8566
0.3494 0.9671 0.1434
0.6506 0.0329 0.8566
0.0329 0.3822 0.1434
0.3822 0.0329 0.6434
0.6178 0.6506 0.1434
0.9671 0.3494 0.6434
0.0000 0.0000 0.5000
0.0000 0.0000 0.0000
0.6667 0.3333 0.2500
0.3333 0.6667 0.7500
```

Output
Spin magnetization ... 0.115 μB per atom
Crystal system ... trigonal
E_form (uncorrected) ... -1.655 eV/atom

---

3.
Below is a geometry-optimized SrCa2AsO structure, with properties calculated at the PBE level.

Structure (POSCAR):
```
SrCa2AsO
1.0
-3.4138 -2.9625 1.2734
2.8165 -1.8364 3.2783
-1.7474 3.5023 3.4631
O As Ca Sr
1 1 2 1
Direct
0.0000 0.0000 0.0000
0.5000 0.5000 0.5000
0.0000 0.5000 0.0000
0.5000 0.0000 0.0000
0.0000 0.0000 0.5000
```

Output
Spin magnetization ... 0.000 μB per atom
Crystal system ... tetragonal
E_form (uncorrected) ... -1.554 eV/atom

---

4.
Below is a geometry-optimized SrCaAs2O6 structure, with properties calculated at the PBE level.

Structure (POSCAR):
```
SrCaAs2O6
1.0
-4.1309 3.6760 1.3462
-3.7651 -1.3126 4.0609
0.8259 3.2125 5.7922
O As Ca Sr
6 2 1 1
Direct
0.0538 0.4737 0.7400
0.9462 0.5263 0.2600
0.5263 0.2675 0.2600
0.2675 0.9462 0.2600
0.7325 0.0538 0.7400
0.4737 0.7325 0.7400
0.7856 0.7856 0.6433
0.2144 0.2144 0.3567
0.5000 0.5000 0.5000
0.0000 0.0000 0.0000
```

Output
Spin magnetization ... 0.199 μB per atom
Crystal system ... trigonal
E_form (uncorrected) ... -1.898 eV/atom